1.
## SrScTa2 (SCAN)

Data for SrScTa2 at its PBEsol-relaxed geometry.

```
data_SrScTa2
_symmetry_space_group_name_H-M 'P 1'
_symmetry_Int_Tables_number 1
_cell_length_a 6.144
_cell_length_b 6.144
_cell_length_c 6.144
_cell_angle_alpha 149.38
_cell_angle_beta 125.82
_cell_angle_gamma 63.52
loop_
_symmetry_equiv_pos_as_xyz
'x,y,z'
loop_
_atom_site_label
_atom_site_type_symbol
_atom_site_fract_x
_atom_site_fract_y
_atom_site_fract_z
Sr1 Sr 0.000 0.000 0.000
Sc1 Sc 0.708 0.208 0.500
Ta1 Ta 0.272 0.772 0.500
Ta2 Ta 0.462 0.462 0.000
```

The calculation puts the total magnetization at 0.000 Bohr magnetons per cell. The formation energy is 740 meV/atom.


2.
## SrScTa2 (SCAN)

Data for SrScTa2 at its PBEsol-relaxed geometry.

```
data_SrScTa2
_symmetry_space_group_name_H-M 'P 1'
_symmetry_Int_Tables_number 1
_cell_length_a 3.013
_cell_length_b 4.630
_cell_length_c 6.920
_cell_angle_alpha 90.00
_cell_angle_beta 97.22
_cell_angle_gamma 90.00
loop_
_symmetry_equiv_pos_as_xyz
'x,y,z'
loop_
_atom_site_label
_atom_site_type_symbol
_atom_site_fract_x
_atom_site_fract_y
_atom_site_fract_z
Sr1 Sr 0.000 0.000 0.000
Sc1 Sc 0.277 0.500 0.667
Ta1 Ta 0.532 0.000 0.456
Ta2 Ta 0.775 0.500 0.305
```

The calculation puts the total magnetization at 0.000 Bohr magnetons per cell. The formation energy is 585 meV/atom.


3.
## SrScTa2 (SCAN)

Data for SrScTa2 at its PBEsol-relaxed geometry.

```
data_SrScTa2
_symmetry_space_group_name_H-M 'P 1'
_symmetry_Int_Tables_number 1
_cell_length_a 3.911
_cell_length_b 4.315
_cell_length_c 5.115
_cell_angle_alpha 90.00
_cell_angle_beta 90.00
_cell_angle_gamma 90.00
loop_
_symmetry_equiv_pos_as_xyz
'x,y,z'
loop_
_atom_site_label
_atom_site_type_symbol
_atom_site_fract_x
_atom_site_fract_y
_atom_site_fract_z
Sr1 Sr 0.000 0.000 0.000
Sc1 Sc 0.500 0.500 0.000
Ta1 Ta 0.000 0.500 0.500
Ta2 Ta 0.500 0.000 0.500
```

The calculation puts the total magnetization at 0.000 Bohr magnetons per cell. The formation energy is 904 meV/atom.


What is the formula in the second record?
SrScTa2